## FeTc2PS (SCAN)

Data for a crystal of FeTc2PS relaxed with PBEsol.

Unit cell a=4.3303 b=4.3303 c=3.8959 alpha=90.00 beta=90.00 gamma=90.00
Closest atoms and distances in Å follow each position.
Space group P4/mmm (No. 123)
Inequivalent atoms, fractional coordinates:
Fe1 0.0000 0.0000 0.0000 (multiplicity 1)  2 S 1.95
Tc1 0.0000 0.5000 0.5000 (multiplicity 2)  2 S 2.17
P1 0.5000 0.5000 0.0000 (multiplicity 1)  8 Tc 2.91, 4 Fe 3.06
S1 0.0000 0.0000 0.5000 (multiplicity 1)  2 Fe 1.95, 4 Tc 2.17


## Fe2SbP (SCAN)

Data for a crystal of Fe2SbP relaxed with PBEsol.

Unit cell a=2.8568 b=3.2561 c=11.7986 alpha=90.00 beta=90.00 gamma=90.00
Closest atoms and distances in Å follow each position.
Space group Imm2 (No. 44)
Inequivalent atoms, fractional coordinates:
Fe1 0.0000 0.0000 0.0000 (multiplicity 2)  2 P 2.20
Fe2 0.0000 0.5000 0.3137 (multiplicity 2)  4 P 2.28
Sb1 0.0000 0.0000 0.6249 (multiplicity 2)  6 Fe 2.62-2.65, 2 Sb 2.86
P1 0.0000 0.5000 0.8744 (multiplicity 2)  6 Fe 2.20-2.28


| no. | calculated total energy (eV per atom) | N(E_F) (states/eV/cell) |
| --- | --- | --- |
| 1 | -20.919 | 4.11 |
| 2 | -20.949 | 3.47 |